# SmYZn3 GGA-PBE optimized geometry
# Magnetic moment = 0.0 μB per cell
# Energy of formation from the pure elements = -0.3386 eV per atom
data_SmYZn3
_chemical_formula_sum 'Sm4 Y4 Zn12'
_symmetry_space_group_name_H-M 'C m c m'
_symmetry_Int_Tables_number 63
_symmetry_space_group_name_Hall '-C 2c 2'
_cell_length_a 3.593
_cell_length_b 27.347
_cell_length_c 4.485
_cell_angle_alpha 90.00
_cell_angle_beta 90.00
_cell_angle_gamma 90.00
loop_
_atom_site_label
_atom_site_type_symbol
_atom_site_fract_x
_atom_site_fract_y
_atom_site_fract_z
_atom_site_occupancy
Sm1 Sm 0.000 0.208 0.250 1
Y1 Y 0.000 0.071 0.750 1
Zn1 Zn 0.000 0.333 0.250 1
Zn2 Zn 0.000 0.384 0.750 1
Zn3 Zn 0.000 0.477 0.750 1